No. 1
An optimized crystal structure of VCr, computed with PBE.

Computed properties:
As for the space group: P4/m. The density of states at the Fermi level comes out at 15.5 states/eV per cell. The magnetization comes out at 0.000 μB per formula unit. For the energy of formation from the pure elements, the calculation gives 0.66 eV/f.u.

Lattice parameters (Å, degrees): 7.081 7.081 4.268 90.00 90.00 90.00
Element x y z (fractional)
V  0.963  0.681  0.500
V  0.037  0.319  0.500
V  0.319  0.963  0.500
V  0.681  0.037  0.500
V  0.865  0.204  0.000
V  0.135  0.796  0.000
V  0.796  0.865  0.000
V  0.204  0.135  0.000
Cr  0.694  0.378  0.500
Cr  0.306  0.622  0.500
Cr  0.622  0.694  0.500
Cr  0.378  0.306  0.500
Cr  0.820  0.530  0.000
Cr  0.180  0.470  0.000
Cr  0.470  0.820  0.000
Cr  0.530  0.180  0.000

---

No. 2
An optimized crystal structure of V7Cr3, computed with PBE.

Computed properties:
As for the space group: P6_3/mmc. The density of states at the Fermi level comes out at 15.3 states/eV per cell. The magnetization comes out at 0.000 μB per formula unit. For the energy of formation from the pure elements, the calculation gives 1.49 eV/f.u.

Lattice parameters (Å, degrees): 4.980 7.904 7.904 120.00 90.00 90.00
Element x y z (fractional)
V  0.916  0.667  0.333
V  0.416  0.333  0.667
V  0.916  0.877  0.753
V  0.916  0.877  0.123
V  0.916  0.247  0.123
V  0.416  0.123  0.247
V  0.416  0.123  0.877
V  0.416  0.753  0.877
V  0.166  0.500  0.000
V  0.166  0.500  0.500
V  0.166  0.000  0.500
V  0.666  0.500  0.000
V  0.666  0.500  0.500
V  0.666  0.000  0.500
Cr  0.916  0.222  0.445
Cr  0.916  0.222  0.778
Cr  0.916  0.555  0.778
Cr  0.416  0.778  0.555
Cr  0.416  0.778  0.222
Cr  0.416  0.445  0.222

---

No. 3
An optimized crystal structure of VCr4, computed with PBE.

Computed properties:
As for the space group: I4_1/amd. The density of states at the Fermi level comes out at 11.5 states/eV per cell. The magnetization comes out at 0.000 μB per formula unit. For the energy of formation from the pure elements, the calculation gives 3.86 eV/f.u.

Lattice parameters (Å, degrees): 5.112 5.759 5.759 78.64 63.65 63.65
Element x y z (fractional)
V  0.500  0.000  0.000
V  0.250  0.500  0.500
Cr  0.044  0.300  0.300
Cr  0.644  0.700  0.700
Cr  0.094  0.200  0.800
Cr  0.094  0.800  0.200
Cr  0.106  0.800  0.800
Cr  0.706  0.200  0.200
Cr  0.656  0.300  0.700
Cr  0.656  0.700  0.300

---

No. 4
An optimized crystal structure of V4Cr3, computed with PBE.

Computed properties:
As for the space group: C2/m. The density of states at the Fermi level comes out at 7.7 states/eV per cell. The magnetization comes out at 0.000 μB per formula unit. For the energy of formation from the pure elements, the calculation gives -0.39 eV/f.u.

Lattice parameters (Å, degrees): 4.099 4.130 6.435 109.06 90.00 119.75
Element x y z (fractional)
V  0.930  0.861  0.790
V  0.070  0.139  0.210
V  0.786  0.571  0.357
V  0.214  0.429  0.643
Cr  0.643  0.285  0.928
Cr  0.500  0.000  0.500
Cr  0.357  0.715  0.072

---

No. 5
An optimized crystal structure of V3Cr7, computed with PBE.

Computed properties:
As for the space group: P6_3/mmc. The density of states at the Fermi level comes out at 15.9 states/eV per cell. The magnetization comes out at 4.409 μB per formula unit. For the energy of formation from the pure elements, the calculation gives 3.08 eV/f.u.

Lattice parameters (Å, degrees): 4.719 7.938 7.938 120.00 90.00 90.00
Element x y z (fractional)
V  0.916  0.215  0.431
V  0.916  0.216  0.784
V  0.916  0.569  0.784
V  0.416  0.785  0.569
V  0.416  0.784  0.216
V  0.416  0.431  0.216
Cr  0.916  0.667  0.333
Cr  0.416  0.333  0.667
Cr  0.916  0.878  0.757
Cr  0.916  0.878  0.122
Cr  0.916  0.243  0.122
Cr  0.416  0.122  0.243
Cr  0.416  0.122  0.878
Cr  0.416  0.757  0.878
Cr  0.166  0.500  0.000
Cr  0.166  0.500  0.500
Cr  0.166  0.000  0.500
Cr  0.666  0.500  0.000
Cr  0.666  0.500  0.500
Cr  0.666  0.000  0.500

---

No. 6
An optimized crystal structure of VCr, computed with PBE.

Computed properties:
As for the space group: I-43m. The density of states at the Fermi level comes out at 24.2 states/eV per cell. The magnetization comes out at 0.484 μB per formula unit. For the energy of formation from the pure elements, the calculation gives 3.70 eV/f.u.

Lattice parameters (Å, degrees): 6.990 6.990 6.990 90.00 90.00 90.00
Element x y z (fractional)
V  0.223  0.223  0.223
V  0.223  0.777  0.777
V  0.777  0.223  0.777
V  0.777  0.777  0.223
V  0.723  0.723  0.723
V  0.723  0.277  0.277
V  0.277  0.723  0.277
V  0.277  0.277  0.723
Cr  0.375  0.375  0.375
Cr  0.375  0.625  0.625
Cr  0.625  0.375  0.625
Cr  0.625  0.625  0.375
Cr  0.875  0.875  0.875
Cr  0.875  0.125  0.125
Cr  0.125  0.875  0.125
Cr  0.125  0.125  0.875

---

No. 7
An optimized crystal structure of V3Cr2, computed with PBE.

Computed properties:
As for the space group: C2/m. The density of states at the Fermi level comes out at 11.4 states/eV per cell. The magnetization comes out at 0.000 μB per formula unit. For the energy of formation from the pure elements, the calculation gives 1.52 eV/f.u.

Lattice parameters (Å, degrees): 5.819 4.461 5.819 101.45 110.68 101.45
Element x y z (fractional)
V  0.202  0.575  0.202
V  0.798  0.425  0.798
V  0.253  0.158  0.521
V  0.479  0.842  0.747
V  0.521  0.158  0.253
V  0.747  0.842  0.479
Cr  0.121  0.000  0.879
Cr  0.879  0.000  0.121
Cr  0.500  0.500  0.000
Cr  0.000  0.500  0.500

---

No. 8
An optimized crystal structure of VCr5, computed with PBE.

Computed properties:
As for the space group: Cmmm. The density of states at the Fermi level comes out at 3.3 states/eV per cell. The magnetization comes out at 0.000 μB per formula unit. For the energy of formation from the pure elements, the calculation gives -0.32 eV/f.u.

Lattice parameters (Å, degrees): 2.865 4.068 6.421 108.47 90.00 90.00
Element x y z (fractional)
Cr  0.000  0.667  0.335
Cr  0.000  0.333  0.665
Cr  0.500  0.500  0.000
Cr  0.500  0.169  0.338
Cr  0.500  0.831  0.662
V  0.000  0.000  0.000

---

No. 9
An optimized crystal structure of VCr, computed with PBE.

Computed properties:
As for the space group: Immm. The density of states at the Fermi level comes out at 4.5 states/eV per cell. The magnetization comes out at 0.000 μB per formula unit. For the energy of formation from the pure elements, the calculation gives 1.19 eV/f.u.

Lattice parameters (Å, degrees): 2.424 4.618 4.734 90.00 90.00 90.00
Element x y z (fractional)
V  0.000  0.500  0.500
V  0.500  0.000  0.000
Cr  0.500  0.000  0.500
Cr  0.000  0.500  0.000

---

No. 10
An optimized crystal structure of V5Cr4, computed with PBE.

Computed properties:
As for the space group: C2/m. The density of states at the Fermi level comes out at 9.3 states/eV per cell. The magnetization comes out at 0.000 μB per formula unit. For the energy of formation from the pure elements, the calculation gives -0.70 eV/f.u.

Lattice parameters (Å, degrees): 2.914 6.397 6.397 86.81 76.37 76.37
Element x y z (fractional)
V  0.000  0.993  0.007
V  0.000  0.340  0.660
V  0.000  0.667  0.333
V  0.325  0.340  0.007
V  0.675  0.993  0.660
Cr  0.331  0.667  0.670
Cr  0.331  0.004  0.333
Cr  0.669  0.667  0.996
Cr  0.669  0.330  0.333

---

No. 11
An optimized crystal structure of VCr3, computed with PBE.

Computed properties:
As for the space group: Immm. The density of states at the Fermi level comes out at 1.9 states/eV per cell. The magnetization comes out at 0.000 μB per formula unit. For the energy of formation from the pure elements, the calculation gives -0.29 eV/f.u.

Lattice parameters (Å, degrees): 2.878 4.082 4.775 115.30 107.54 90.00
Element x y z (fractional)
Cr  0.247  0.664  0.494
Cr  0.500  0.417  0.000
Cr  0.753  0.170  0.506
V  0.000  0.917  0.000

---

No. 12
An optimized crystal structure of V6Cr5, computed with PBE.

Computed properties:
As for the space group: Immm. The density of states at the Fermi level comes out at 14.3 states/eV per cell. The magnetization comes out at 0.001 μB per formula unit. For the energy of formation from the pure elements, the calculation gives 1.68 eV/f.u.

Lattice parameters (Å, degrees): 4.093 5.753 7.084 113.95 106.81 90.01
Element x y z (fractional)
V  0.500  0.756  0.000
V  0.500  0.244  0.000
V  0.837  0.082  0.674
V  0.837  0.592  0.674
V  0.163  0.918  0.326
V  0.163  0.408  0.326
Cr  0.000  0.500  0.000
Cr  0.665  0.665  0.331
Cr  0.335  0.335  0.669
Cr  0.331  0.831  0.662
Cr  0.669  0.169  0.338

---

No. 13
An optimized crystal structure of VCr3, computed with PBE.

Computed properties:
As for the space group: Fm-3m. The density of states at the Fermi level comes out at 3.3 states/eV per cell. The magnetization comes out at 0.000 μB per formula unit. For the energy of formation from the pure elements, the calculation gives -0.27 eV/f.u.

Lattice parameters (Å, degrees): 4.072 4.072 4.072 60.00 60.00 60.00
Element x y z (fractional)
Cr  0.250  0.250  0.250
Cr  0.750  0.750  0.750
Cr  0.500  0.500  0.500
V  0.000  0.000  0.000

---

No. 14
An optimized crystal structure of V4CrW4, computed with PBE.

Computed properties:
As for the space group: I4/mmm. The density of states at the Fermi level comes out at 7.7 states/eV per cell. The magnetization comes out at 0.000 μB per formula unit. For the energy of formation from the pure elements, the calculation gives -0.49 eV/f.u.

Lattice parameters (Å, degrees): 3.067 6.686 6.686 86.99 76.74 76.74
Element x y z (fractional)
V  0.500  0.164  0.336
V  0.500  0.836  0.664
V  0.164  0.836  0.336
V  0.836  0.164  0.664
Cr  0.500  0.500  0.000
W  0.164  0.171  0.000
W  0.836  0.829  0.000
W  0.836  0.500  0.329
W  0.164  0.500  0.671

---

No. 15
An optimized crystal structure of VCrW3, computed with PBE.

Computed properties:
As for the space group: C2/c. The density of states at the Fermi level comes out at 16.1 states/eV per cell. The magnetization comes out at 0.000 μB per formula unit. For the energy of formation from the pure elements, the calculation gives 1.51 eV/f.u.

Lattice parameters (Å, degrees): 4.463 9.262 9.262 92.33 65.12 65.12
Element x y z (fractional)
V  0.250  0.755  0.245
V  0.250  0.084  0.916
V  0.750  0.245  0.755
V  0.750  0.916  0.084
Cr  0.793  0.367  0.207
Cr  0.293  0.207  0.367
Cr  0.707  0.793  0.633
Cr  0.207  0.633  0.793
W  0.499  0.231  0.064
W  0.999  0.064  0.231
W  0.001  0.936  0.769
W  0.501  0.769  0.936
W  0.606  0.346  0.509
W  0.106  0.509  0.346
W  0.894  0.491  0.654
W  0.394  0.654  0.491
W  0.078  0.590  0.079
W  0.578  0.079  0.590
W  0.422  0.921  0.410
W  0.922  0.410  0.921

---

No. 16
An optimized crystal structure of VCrW2, computed with PBE.

Computed properties:
As for the space group: P2/c. The density of states at the Fermi level comes out at 10.1 states/eV per cell. The magnetization comes out at 0.000 μB per formula unit. For the energy of formation from the pure elements, the calculation gives 0.96 eV/f.u.

Lattice parameters (Å, degrees): 5.125 5.244 8.798 89.05 90.00 90.00
Element x y z (fractional)
V  0.570  0.632  0.882
V  0.430  0.368  0.118
V  0.570  0.368  0.618
V  0.430  0.632  0.382
Cr  0.679  0.865  0.123
Cr  0.321  0.135  0.877
Cr  0.679  0.135  0.377
Cr  0.321  0.865  0.623
W  0.193  0.129  0.380
W  0.807  0.871  0.620
W  0.193  0.871  0.120
W  0.807  0.129  0.880
W  0.075  0.365  0.625
W  0.925  0.635  0.375
W  0.075  0.635  0.875
W  0.925  0.365  0.125

---

No. 17
An optimized crystal structure of VCr4W2, computed with PBE.

Computed properties:
As for the space group: P1. The density of states at the Fermi level comes out at 14.1 states/eV per cell. The magnetization comes out at 0.000 μB per formula unit. For the energy of formation from the pure elements, the calculation gives 1.54 eV/f.u.

Lattice parameters (Å, degrees): 4.661 7.217 7.614 122.56 89.47 114.35
Element x y z (fractional)
V  0.192  0.768  0.471
V  0.038  0.954  0.048
Cr  0.198  0.414  0.452
Cr  0.208  0.433  0.120
Cr  0.691  0.768  0.468
Cr  0.183  0.118  0.473
Cr  0.839  0.573  0.654
Cr  0.566  0.918  0.832
Cr  0.850  0.633  0.106
Cr  0.176  0.101  0.814
W  0.731  0.235  0.732
W  0.650  0.313  0.202
W  0.361  0.558  0.857
W  0.567  0.963  0.271

---

No. 18
An optimized crystal structure of V5Cr4W2, computed with PBE.

Computed properties:
As for the space group: C2/m. The density of states at the Fermi level comes out at 13.2 states/eV per cell. The magnetization comes out at 0.000 μB per formula unit. For the energy of formation from the pure elements, the calculation gives 2.58 eV/f.u.

Lattice parameters (Å, degrees): 4.928 6.208 5.935 73.62 65.47 66.61
Element x y z (fractional)
V  0.241  0.186  0.824
V  0.759  0.814  0.176
V  0.000  0.500  0.500
V  0.750  0.186  0.824
V  0.250  0.814  0.176
Cr  0.252  0.086  0.409
Cr  0.748  0.914  0.591
Cr  0.763  0.569  0.904
Cr  0.237  0.431  0.096
W  0.325  0.678  0.672
W  0.675  0.322  0.328

---

No. 19
An optimized crystal structure of VCr14W, computed with PBE.

Computed properties:
As for the space group: Cmmm. The density of states at the Fermi level comes out at 10.8 states/eV per cell. The magnetization comes out at 0.648 μB per formula unit. For the energy of formation from the pure elements, the calculation gives -0.11 eV/f.u.

Lattice parameters (Å, degrees): 5.005 5.005 8.200 90.00 90.00 109.27
Element x y z (fractional)
V  0.125  0.875  0.500
Cr  0.125  0.875  0.000
Cr  0.625  0.375  0.000
Cr  0.125  0.375  0.500
Cr  0.125  0.375  0.000
Cr  0.625  0.875  0.500
Cr  0.625  0.875  0.000
Cr  0.373  0.123  0.757
Cr  0.373  0.123  0.243
Cr  0.877  0.627  0.757
Cr  0.877  0.627  0.243
Cr  0.374  0.626  0.754
Cr  0.374  0.626  0.246
Cr  0.876  0.124  0.754
Cr  0.876  0.124  0.246
W  0.625  0.375  0.500

---

No. 20
An optimized crystal structure of V3CrW, computed with PBE.

Computed properties:
As for the space group: Pm-3m. The density of states at the Fermi level comes out at 6.8 states/eV per cell. The magnetization comes out at 0.005 μB per formula unit. For the energy of formation from the pure elements, the calculation gives 5.14 eV/f.u.

Lattice parameters (Å, degrees): 4.249 4.249 4.249 90.00 90.00 90.00
Element x y z (fractional)
Cr  0.000  0.000  0.000
W  0.500  0.500  0.500
V  0.000  0.500  0.000
V  0.000  0.000  0.500
V  0.500  0.000  0.000